--- w ---
! Nd2YSe4 | Alexandria via LeMat-Bulk | PBE-GGA | optimized geometry; values from VASP
! - symmetry = Cmcm (63)
! - total moment (μB/f.u.) = 0.00
! - crystal system = orthorhombic
&SYSTEM
  ibrav = 0, nat = 14, ntyp = 3
/
ATOMIC_SPECIES
Se 78.96 Se.upf
Y 88.91 Y.upf
Nd 144.24 Nd.upf
CELL_PARAMETERS angstrom
-3.634 1.751 -0.052
0.993 -2.385 6.789
5.895 12.335 3.471
ATOMIC_POSITIONS crystal
Se 0.020 0.041 0.250
Se 0.500 0.000 0.500
Se 0.220 0.440 0.625
Se 0.780 0.560 0.125
Se 0.980 0.959 0.750
Se 0.780 0.560 0.375
Se 0.500 0.000 0.000
Se 0.220 0.440 0.875
Y 0.372 0.744 0.250
Y 0.628 0.256 0.750
Nd 0.130 0.260 0.072
Nd 0.130 0.260 0.428
Nd 0.870 0.740 0.928
Nd 0.870 0.740 0.572

---

--- x ---
! Nd2YSe4 | Alexandria via LeMat-Bulk | PBE-GGA | optimized geometry; values from VASP
! - symmetry = Imma (74)
! - total moment (μB/f.u.) = 0.00
! - crystal system = orthorhombic
&SYSTEM
  ibrav = 0, nat = 14, ntyp = 3
/
ATOMIC_SPECIES
Nd 144.24 Nd.upf
Se 78.96 Se.upf
Y 88.91 Y.upf
CELL_PARAMETERS angstrom
-7.660 -1.658 2.813
-4.633 -5.793 -3.705
-1.522 -7.104 3.996
ATOMIC_POSITIONS crystal
Nd 0.000 0.500 0.500
Nd 0.500 0.000 0.500
Nd 0.000 0.000 0.000
Nd 0.000 0.000 0.500
Se 0.753 0.746 0.246
Se 0.257 0.735 0.750
Se 0.746 0.254 0.754
Se 0.743 0.750 0.765
Se 0.247 0.254 0.754
Se 0.257 0.250 0.235
Se 0.254 0.746 0.246
Se 0.743 0.265 0.250
Y 0.500 0.500 0.000
Y 0.000 0.500 0.000

---

Relative energy of each structure, in kJ/mol of atoms: w 3.9; x 0.0.

---

--- w ---
! NdY3Se4 | Alexandria via LeMat-Bulk | PBE-GGA | optimized geometry; values from VASP
! - symmetry = Pm-3m (221)
! - total moment (μB/f.u.) = 0.00
! - crystal system = cubic
&SYSTEM
  ibrav = 0, nat = 8, ntyp = 3
/
ATOMIC_SPECIES
Y 88.91 Y.upf
Se 78.96 Se.upf
Nd 144.24 Nd.upf
CELL_PARAMETERS angstrom
-3.537 3.559 -2.983
-1.189 -4.319 -3.742
-4.489 -1.660 3.342
ATOMIC_POSITIONS crystal
Y 0.500 0.000 0.500
Y 0.500 0.500 0.000
Y 0.000 0.500 0.500
Se 0.000 0.000 0.500
Se 0.000 0.500 0.000
Se 0.500 0.500 0.500
Se 0.500 0.000 0.000
Nd 0.000 0.000 0.000

---

--- x ---
! NdY3Se4 | Alexandria via LeMat-Bulk | PBE-GGA | optimized geometry; values from VASP
! - symmetry = R-3m (166)
! - total moment (μB/f.u.) = 0.00
! - crystal system = trigonal
&SYSTEM
  ibrav = 0, nat = 8, ntyp = 3
/
ATOMIC_SPECIES
Se 78.96 Se.upf
Nd 144.24 Nd.upf
Y 88.91 Y.upf
CELL_PARAMETERS angstrom
4.063 0.000 0.620
1.984 3.545 0.620
-0.022 -0.013 13.760
ATOMIC_POSITIONS crystal
Se 0.622 0.622 0.134
Se 0.874 0.874 0.377
Se 0.378 0.378 0.866
Se 0.126 0.126 0.623
Nd 0.000 0.000 0.000
Y 0.500 0.500 0.500
Y 0.751 0.751 0.746
Y 0.249 0.249 0.254

---

Relative energy of each structure, in kJ/mol of atoms: w 2.1; x 0.0.

---

--- w ---
! NdYSe3 | Alexandria via LeMat-Bulk | PBE-GGA | optimized geometry; values from VASP
! - symmetry = P2_1/m (11)
! - total moment (μB/f.u.) = 0.00
! - crystal system = monoclinic
&SYSTEM
  ibrav = 0, nat = 10, ntyp = 3
/
ATOMIC_SPECIES
Se 78.96 Se.upf
Y 88.91 Y.upf
Nd 144.24 Nd.upf
CELL_PARAMETERS angstrom
-2.195 -3.254 1.289
3.477 0.161 6.326
-6.134 5.623 3.754
ATOMIC_POSITIONS crystal
Se 0.750 0.964 0.674
Se 0.250 0.491 0.346
Se 0.250 0.283 0.931
Se 0.750 0.717 0.069
Se 0.750 0.509 0.654
Se 0.250 0.036 0.326
Y 0.750 0.763 0.394
Y 0.250 0.237 0.606
Nd 0.250 0.698 0.845
Nd 0.750 0.302 0.155

---

--- x ---
! NdYSe3 | Alexandria via LeMat-Bulk | PBE-GGA | optimized geometry; values from VASP
! - symmetry = P2_1/m (11)
! - total moment (μB/f.u.) = 0.00
! - crystal system = monoclinic
&SYSTEM
  ibrav = 0, nat = 10, ntyp = 3
/
ATOMIC_SPECIES
Se 78.96 Se.upf
Y 88.91 Y.upf
Nd 144.24 Nd.upf
CELL_PARAMETERS angstrom
-3.496 -2.193 0.047
3.908 -6.303 -3.437
1.589 -2.366 7.785
ATOMIC_POSITIONS crystal
Se 0.250 0.376 0.611
Se 0.250 0.898 0.680
Se 0.250 0.684 0.024
Se 0.750 0.316 0.976
Se 0.750 0.102 0.320
Se 0.750 0.624 0.389
Y 0.750 0.146 0.676
Y 0.250 0.854 0.324
Nd 0.750 0.620 0.771
Nd 0.250 0.380 0.229

---

Relative energy of each structure, in kJ/mol of atoms: w 1.8; x 0.0.

---

--- w ---
! Nd2ZnSe | Alexandria via LeMat-Bulk | PBE-GGA | optimized geometry; values from VASP
! - symmetry = P4/mmm (123)
! - total moment (μB/f.u.) = 0.00
! - crystal system = tetragonal
&SYSTEM
  ibrav = 0, nat = 4, ntyp = 3
/
ATOMIC_SPECIES
Nd 144.24 Nd.upf
Zn 65.41 Zn.upf
Se 78.96 Se.upf
CELL_PARAMETERS angstrom
3.752 0.000 0.000
0.000 3.752 0.000
0.000 0.000 7.067
ATOMIC_POSITIONS crystal
Nd 0.000 0.000 0.251
Nd 0.000 0.000 0.749
Zn 0.500 0.500 0.000
Se 0.500 0.500 0.500

---

--- x ---
! Nd2ZnSe | Alexandria via LeMat-Bulk | PBE-GGA | optimized geometry; values from VASP
! - symmetry = R-3m (166)
! - total moment (μB/f.u.) = 0.00
! - crystal system = trigonal
&SYSTEM
  ibrav = 0, nat = 4, ntyp = 3
/
ATOMIC_SPECIES
Se 78.96 Se.upf
Zn 65.41 Zn.upf
Nd 144.24 Nd.upf
CELL_PARAMETERS angstrom
-1.702 3.750 0.487
-1.313 1.211 3.742
5.681 4.503 2.833
ATOMIC_POSITIONS crystal
Se 0.500 0.500 0.500
Zn 0.000 0.000 0.000
Nd 0.246 0.246 0.262
Nd 0.754 0.754 0.738

---

--- y ---
! Nd2ZnSe | Alexandria via LeMat-Bulk | PBE-GGA | optimized geometry; values from VASP
! - symmetry = R3m (160)
! - total moment (μB/f.u.) = 0.00
! - crystal system = trigonal
&SYSTEM
  ibrav = 0, nat = 4, ntyp = 3
/
ATOMIC_SPECIES
Se 78.96 Se.upf
Nd 144.24 Nd.upf
Zn 65.41 Zn.upf
CELL_PARAMETERS angstrom
-0.977 1.367 3.673
-3.201 -1.522 1.936
3.214 -5.569 5.148
ATOMIC_POSITIONS crystal
Se 0.499 0.499 0.503
Nd 0.249 0.249 0.252
Nd 0.084 0.084 0.748
Zn 0.667 0.667 0.998

---

Relative energy of each structure, in kJ/mol of atoms: w 13.1; x 0.0; y 9.7.

---

--- w ---
! NdZrSe2 | Alexandria via LeMat-Bulk | PBE-GGA | optimized geometry; values from VASP
! - symmetry = R-3m (166)
! - total moment (μB/f.u.) = 0.00
! - crystal system = trigonal
&SYSTEM
  ibrav = 0, nat = 4, ntyp = 3
/
ATOMIC_SPECIES
Se 78.96 Se.upf
Zr 91.22 Zr.upf
Nd 144.24 Nd.upf
CELL_PARAMETERS angstrom
3.782 0.000 0.000
1.891 3.276 0.000
1.891 1.092 9.148
ATOMIC_POSITIONS crystal
Se 0.893 0.893 0.320
Se 0.107 0.107 0.680
Zr 0.500 0.500 0.500
Nd 0.000 0.000 0.000

---

--- x ---
! NdZrSe2 | Alexandria via LeMat-Bulk | PBE-GGA | optimized geometry; values from VASP
! - symmetry = R3m (160)
! - total moment (μB/f.u.) = 0.00
! - crystal system = trigonal
&SYSTEM
  ibrav = 0, nat = 4, ntyp = 3
/
ATOMIC_SPECIES
Se 78.96 Se.upf
Nd 144.24 Nd.upf
Zr 91.22 Zr.upf
CELL_PARAMETERS angstrom
3.936 0.000 0.000
1.968 3.409 0.000
1.968 1.136 7.067
ATOMIC_POSITIONS crystal
Se 0.258 0.258 0.225
Se 0.075 0.075 0.774
Nd 0.496 0.496 0.511
Zr 0.670 0.670 0.990

---

Relative energy of each structure, in kJ/mol of atoms: w 34.1; x 0.0.

---

--- w ---
! Nd2ZrSe5 | Alexandria via LeMat-Bulk | PBE-GGA | optimized geometry; values from VASP
! - symmetry = Cmcm (63)
! - total moment (μB/f.u.) = 0.00
! - crystal system = orthorhombic
&SYSTEM
  ibrav = 0, nat = 16, ntyp = 3
/
ATOMIC_SPECIES
Se 78.96 Se.upf
Zr 91.22 Zr.upf
Nd 144.24 Nd.upf
CELL_PARAMETERS angstrom
-4.008 -0.261 -3.880
0.407 -6.449 4.033
-8.952 5.008 8.910
ATOMIC_POSITIONS crystal
Se 0.306 0.612 0.087
Se 0.951 0.903 0.624
Se 0.729 0.459 0.250
Se 0.049 0.097 0.124
Se 0.271 0.541 0.750
Se 0.049 0.097 0.376
Se 0.951 0.903 0.876
Se 0.694 0.388 0.913
Se 0.306 0.612 0.413
Se 0.694 0.388 0.587
Zr 0.811 0.623 0.750
Zr 0.189 0.377 0.250
Nd 0.147 0.293 0.937
Nd 0.147 0.293 0.563
Nd 0.853 0.707 0.063
Nd 0.853 0.707 0.437

---

--- x ---
! Nd2ZrSe5 | Alexandria via LeMat-Bulk | PBE-GGA | optimized geometry; values from VASP
! - symmetry = Pnma (62)
! - total moment (μB/f.u.) = 0.00
! - crystal system = orthorhombic
&SYSTEM
  ibrav = 0, nat = 32, ntyp = 3
/
ATOMIC_SPECIES
Nd 144.24 Nd.upf
Se 78.96 Se.upf
Zr 91.22 Zr.upf
CELL_PARAMETERS angstrom
7.763 0.000 0.000
0.000 8.340 0.000
0.000 0.000 12.280
ATOMIC_POSITIONS crystal
Nd 0.969 0.997 0.322
Nd 0.969 0.503 0.322
Nd 0.469 0.497 0.178
Nd 0.531 0.503 0.822
Nd 0.531 0.997 0.822
Nd 0.469 0.003 0.178
Nd 0.031 0.003 0.678
Nd 0.031 0.497 0.678
Se 0.836 0.038 0.088
Se 0.682 0.750 0.293
Se 0.837 0.250 0.818
Se 0.663 0.250 0.318
Se 0.818 0.750 0.793
Se 0.554 0.750 0.004
Se 0.664 0.038 0.588
Se 0.164 0.538 0.912
Se 0.446 0.250 0.996
Se 0.336 0.962 0.412
Se 0.336 0.538 0.412
Se 0.054 0.250 0.496
Se 0.946 0.750 0.504
Se 0.664 0.462 0.588
Se 0.164 0.962 0.912
Se 0.163 0.750 0.182
Se 0.318 0.250 0.707
Se 0.337 0.750 0.682
Se 0.182 0.250 0.207
Se 0.836 0.462 0.088
Zr 0.079 0.250 0.992
Zr 0.421 0.250 0.492
Zr 0.579 0.750 0.508
Zr 0.921 0.750 0.008

---

Relative energy of each structure, in kJ/mol of atoms: w 11.9; x 0.0.

---

--- w ---
! Nd3Si | Alexandria via LeMat-Bulk | PBE-GGA | optimized geometry; values from VASP
! - symmetry = I4/mmm (139)
! - total moment (μB/f.u.) = 0.01
! - crystal system = tetragonal
&SYSTEM
  ibrav = 0, nat = 4, ntyp = 2
/
ATOMIC_SPECIES
Nd 144.24 Nd.upf
Si 28.09 Si.upf
CELL_PARAMETERS angstrom
-3.829 0.487 -1.391
-1.127 -3.461 1.892
0.574 5.796 6.500
ATOMIC_POSITIONS crystal
Nd 0.500 0.500 0.000
Nd 0.176 0.176 0.352
Nd 0.824 0.824 0.648
Si 0.000 0.000 0.000

---

--- x ---
! Nd3Si | Alexandria via LeMat-Bulk | PBE-GGA | optimized geometry; values from VASP
! - symmetry = Pmm2 (25)
! - total moment (μB/f.u.) = 0.00
! - crystal system = orthorhombic
&SYSTEM
  ibrav = 0, nat = 4, ntyp = 2
/
ATOMIC_SPECIES
Si 28.09 Si.upf
Nd 144.24 Nd.upf
CELL_PARAMETERS angstrom
-1.504 -2.447 -2.667
3.172 -0.666 -1.179
0.785 -7.245 6.204
ATOMIC_POSITIONS crystal
Si 0.000 0.000 0.982
Nd 0.500 0.000 0.749
Nd 0.000 0.500 0.465
Nd 0.500 0.500 0.136

---

--- y ---
! Nd3Si | Alexandria via LeMat-Bulk | PBE-GGA | optimized geometry; values from VASP
! - symmetry = Pm-3m (221)
! - total moment (μB/f.u.) = 0.00
! - crystal system = cubic
&SYSTEM
  ibrav = 0, nat = 4, ntyp = 2
/
ATOMIC_SPECIES
Nd 144.24 Nd.upf
Si 28.09 Si.upf
CELL_PARAMETERS angstrom
-1.392 0.073 -4.578
-3.756 -2.754 1.098
-2.618 3.913 0.858
ATOMIC_POSITIONS crystal
Nd 0.000 0.500 0.500
Nd 0.500 0.000 0.500
Nd 0.500 0.500 0.000
Si 0.000 0.000 0.000

---

Relative energy of each structure, in kJ/mol of atoms: w 9.3; x 23.9; y 0.0.

---

--- w ---
! Nd3Si | Alexandria via LeMat-Bulk | PBE-GGA | optimized geometry; values from VASP
! - symmetry = P6_3/mmc (194)
! - total moment (μB/f.u.) = 0.00
! - crystal system = hexagonal
&SYSTEM
  ibrav = 0, nat = 8, ntyp = 2
/
ATOMIC_SPECIES
Nd 144.24 Nd.upf
Si 28.09 Si.upf
CELL_PARAMETERS angstrom
3.503 -6.067 0.000
3.503 6.067 0.000
0.000 0.000 5.182
ATOMIC_POSITIONS crystal
Nd 0.819 0.181 0.750
Nd 0.181 0.362 0.250
Nd 0.638 0.819 0.250
Nd 0.362 0.181 0.750
Nd 0.181 0.819 0.250
Nd 0.819 0.638 0.750
Si 0.333 0.667 0.750
Si 0.667 0.333 0.250

---

--- x ---
! Nd3Si | Alexandria via LeMat-Bulk | PBE-GGA | optimized geometry; values from VASP
! - symmetry = Immm (71)
! - total moment (μB/f.u.) = 0.00
! - crystal system = orthorhombic
&SYSTEM
  ibrav = 0, nat = 4, ntyp = 2
/
ATOMIC_SPECIES
Si 28.09 Si.upf
Nd 144.24 Nd.upf
CELL_PARAMETERS angstrom
4.007 0.000 0.000
0.000 5.165 0.000
-2.003 -2.582 5.716
ATOMIC_POSITIONS crystal
Si 0.000 0.917 0.000
Nd 0.702 0.118 0.404
Nd 0.298 0.714 0.596
Nd 0.500 0.417 0.000

---

Relative energy of each structure, in kJ/mol of atoms: w 1.0; x 0.0.